VASP calculation (PBE with a Hubbard U) on a geometry-optimized VSnP2O8 structure.

Properties
DOS at the Fermi energy = 11.9 states/eV per cell
total moment = 1.0 μB per formula unit
total DFT energy (no corrections) = -85.21 eV/f.u.

Cell and atoms, written as CIF:
```
data_VSnP2O8
_symmetry_space_group_name_H-M 'R -3'
_symmetry_Int_Tables_number 148
_symmetry_space_group_name_Hall '-R 3'
_cell_length_a 4.8143
_cell_length_b 4.8143
_cell_length_c 22.1692
_cell_angle_alpha 90.00
_cell_angle_beta 90.00
_cell_angle_gamma 120.00
loop_
_atom_site_label
_atom_site_type_symbol
_atom_site_fract_x
_atom_site_fract_y
_atom_site_fract_z
_atom_site_occupancy
V1 V 0.0000 0.0000 0.0000 1
Sn1 Sn 0.0000 0.0000 0.5000 1
P1 P 0.0000 0.0000 0.2582 1
O1 O 0.0000 0.0000 0.1888 1
O2 O 0.0130 0.3789 0.3858 1
```